# TcPtO

A relaxed TcPtO crystal (PBE-GGA, Alexandria).

a b c (Å): 3.3180 4.0440 7.5842
angles (deg): 90.00 90.00 90.00
Closest atoms and distances in Å follow each position.
Space group Pmmn (No. 59, origin choice 2)
Symmetry-distinct sites (fractional):
Tc: 0.2500 0.2500 0.2435 (multiplicity 2)  2 O 1.87
Pt: 0.2500 0.7500 0.4574 (multiplicity 2)  4 Tc 2.59-2.81, 4 Pt 2.69
O: 0.2500 0.7500 0.8702 (multiplicity 2)  2 Tc 1.87

E_tot (eV/cell): -44.547
Raw formation energy (eV/atom): -0.30
Size of the total moment (μB per atom): 0.00